Computed, not measured: a relaxed structure of B4C at the PBE level of DFT.

Computed properties:
DOS at the Fermi energy, states/eV per atom: 0.3715
Total magnetic moment, μB/f.u.: 0.000
SG: No. 166
Energy relative to the elements, eV/atom: 0.44
Total DFT energy (no corrections), eV/atom: -6.7506
ΔE to the lowest computed polymorph, meV/atom: 538

abc: 13.816 13.816 13.816
angles: 11.04 11.04 11.04
Fractional coordinates of all 10 atoms:
B 0.047 0.047 0.047
B 0.180 0.180 0.180
B 0.220 0.220 0.220
B 0.422 0.422 0.422
B 0.578 0.578 0.578
B 0.780 0.780 0.780
B 0.820 0.820 0.820
B 0.953 0.953 0.953
C 0.383 0.383 0.383
C 0.617 0.617 0.617